Here is CeHo2Cd8 after structural relaxation from the Alexandria database. Energies are from PBE-GGA.

Unit cell a=8.2838 b=15.9315 c=5.3394 alpha=90.00 beta=130.03 gamma=90.00
With the nearest neighbours (Å) after each atom.
Space group C2/m (No. 12)
Unique sites:
1 Ce 0.0000 0.0000 0.0000 [2 per cell]  6 Cd 3.23-3.44
2 Ho 0.0000 0.3102 0.5000 [4 per cell]  12 Cd 3.17-3.30
3 Cd 0.0000 0.2028 0.0000 [4 per cell]  6 Cd 3.14-3.26, 4 Ho 3.17-3.18, 1 Ce 3.23
4 Cd 0.9998 0.5000 0.2512 [4 per cell]  2 Cd 2.65-2.68
5 Cd 0.2324 0.1310 0.7329 [8 per cell]  6 Cd 2.95-3.26, 3 Ho 3.21-3.30

## Properties
Spin magnetization   2.45 μB per cell
Mass density   8.4 g/cm³

Here is CeHoCd6 after structural relaxation from the Alexandria database. Energies are from PBE-GGA.

Unit cell a=4.9180 b=7.1484 c=11.0986 alpha=90.00 beta=90.00 gamma=90.00
With the nearest neighbours (Å) after each atom.
Space group Amm2 (No. 38)
Unique sites:
1 Ce 0.0000 0.0000 0.0000 [2 per cell]  12 Cd 3.23-3.59
2 Ho 0.5000 0.0000 0.2794 [2 per cell]  12 Cd 3.21-3.59
3 Cd 0.0000 0.0000 0.4652 [2 per cell]  8 Cd 3.04-3.35, 2 Ho 3.21
4 Cd 0.0000 0.2171 0.7323 [4 per cell]  7 Cd 3.03-3.35, 2 Ho 3.23, 2 Ce 3.28-3.35
5 Cd 0.5000 0.0000 0.8105 [2 per cell]  8 Cd 3.03-3.32, 2 Ce 3.24
6 Cd 0.5000 0.2160 0.5476 [4 per cell]  7 Cd 3.04-3.32, 2 Ce 3.23, 2 Ho 3.28-3.35

## Properties
Spin magnetization   1.88 μB per cell
Mass density   8.3 g/cm³

Here is Ce2HoCd5 after structural relaxation from the Alexandria database. Energies are from PBE-GGA.

Unit cell a=4.8990 b=4.8990 c=16.7505 alpha=90.00 beta=90.00 gamma=90.00
With the nearest neighbours (Å) after each atom.
Space group I4/mmm (No. 139)
Unique sites:
1 Ce 0.0000 0.0000 0.2405 [4 per cell]  8 Cd 3.22-3.44, 4 Ce 3.48
2 Ho 0.0000 0.0000 0.5000 [2 per cell]  12 Cd 3.12-3.46
3 Cd 0.0000 0.0000 0.0000 [2 per cell]  8 Cd 3.12, 4 Ho 3.46
4 Cd 0.0000 0.5000 0.1152 [8 per cell]  6 Cd 3.12-3.46, 2 Ho 3.12, 4 Ce 3.22-3.44

## Properties
Spin magnetization   4.75 μB per cell
Mass density   8.3 g/cm³

Here is CeHoCd3 after structural relaxation from the Alexandria database. Energies are from PBE-GGA.

Unit cell a=3.3977 b=29.8919 c=5.0345 alpha=90.00 beta=90.00 gamma=90.00
With the nearest neighbours (Å) after each atom.
Space group Cmcm (No. 63)
Unique sites:
1 Ce 0.0000 0.0747 0.2500 [4 per cell]  12 Cd 3.36-3.50, 2 Ce 3.40
2 Ho 0.0000 0.2155 0.7500 [4 per cell]  7 Cd 3.21-3.25, 2 Ho 3.40
3 Cd 0.0000 0.3230 0.7500 [4 per cell]  2 Cd 2.99, 5 Ho 3.21-3.25
4 Cd 0.0000 0.3769 0.2500 [4 per cell]  3 Cd 2.95-2.99, 2 Ho 3.24
5 Cd 0.0000 0.4756 0.2500 [4 per cell]  3 Cd 2.91-2.95

## Properties
Spin magnetization   5.54 μB per cell
Mass density   8.3 g/cm³

no.,ΔH_f (0 K) (meV/atom)
1,-219
2,-224
3,-209
4,-247